[1]
Material: PmPb2
Method: DFT, PBE
State: optimized geometry

Cell lengths 6.458, 6.458, 6.458 Å; angles 60.00, 60.00, 60.00 degrees
Each line ends with the local moment (μB).
Fractional positions:
Pb  0.625  0.625  0.625  0.01
Pb  0.625  0.625  0.125  0.01
Pb  0.125  0.625  0.625  0.01
Pb  0.625  0.125  0.625  0.01
Pm  0.000  0.000  0.000  0.27
Pm  0.250  0.250  0.250  0.27

Properties
space-group type = Fd-3m
DOS(E_F) = 3.1 states/eV/f.u.
DFT formation energy = -167 meV/atom


[2]
Material: NaLi2TaS4
Method: DFT, PBE
State: optimized geometry

Cell lengths 6.120, 6.120, 6.682 Å; angles 117.18, 117.18, 90.14 degrees
Fractional positions:
S  0.415  0.845  0.260
S  0.845  0.415  0.260
S  0.585  0.585  0.739
S  0.154  0.154  0.739
Li  0.750  0.250  0.500
Li  0.250  0.750  0.500
Na  0.001  0.001  0.002
Ta  0.500  0.500  0.000

Properties
space-group type = Fmm2
DOS(E_F) = 0.0 states/eV/f.u.
formation energy without anion corrections = -1.17 eV/atom